# 1
Material: Ce7Fe3
Method: DFT, PBE-GGA
State: relaxed

Geometry as extended XYZ:
```
20
Lattice="5.699 0.000 0.000 0.000 8.302 -4.793 0.000 0.000 9.586" Properties=species:S:1:pos:R:3 pbc="T T T"
Ce 0.407 5.535 0.000
Ce 3.257 2.767 4.793
Ce 5.611 7.205 2.893
Ce 5.611 7.205 -2.893
Ce 5.611 2.194 0.000
Ce 2.761 1.097 1.900
Ce 2.761 1.097 7.686
Ce 2.761 6.108 4.793
Ce 0.744 3.807 6.593
Ce 0.744 3.807 2.993
Ce 0.744 0.689 4.793
Ce 3.593 4.495 -1.800
Ce 3.593 4.495 1.800
Ce 3.593 7.613 0.000
Fe 4.732 1.563 2.707
Fe 4.732 1.563 6.879
Fe 4.732 5.176 4.793
Fe 1.883 6.739 2.086
Fe 1.883 6.739 -2.086
Fe 1.883 3.126 0.000
```

Computed properties:
Its space group is P6_3mc.

---

# 2
Material: Li2CaCoC
Method: DFT, PBE-GGA
State: relaxed

Geometry as extended XYZ:
```
5
Lattice="4.262 0.000 0.000 0.000 4.262 0.000 0.000 0.000 3.769" Properties=species:S:1:pos:R:3 pbc="T T T"
Ca 2.131 2.131 1.884
Co 0.000 0.000 1.884
C 0.000 0.000 0.000
Li 0.000 2.131 0.000
Li 2.131 0.000 0.000
```

Computed properties:
Its space group is P4/mmm.

---

# 3
Material: RbAgGe2
Method: DFT, PBE-GGA
State: relaxed

Geometry as extended XYZ:
```
4
Lattice="4.473 0.000 0.000 2.237 3.874 0.000 2.237 1.291 6.610" Properties=species:S:1:pos:R:3 pbc="T T T"
Ge 2.237 1.291 0.765
Ge 6.710 3.874 5.846
Rb 4.473 2.583 3.305
Ag 0.000 0.000 0.000
```

Computed properties:
Its space group is R-3m.

---

| no. | calculated volume (A^3/atom) | calculated formation energy (eV/atom) | total moment (μB/f.u.) |
| --- | --- | --- | --- |
| 1 | 22.68 | -0.041 | 0.00 |
| 2 | 13.69 | 0.146 | 0.01 |
| 3 | 28.64 | 0.004 | 0.00 |